1.
DFT (GGA-PBE) results for an optimized crystal structure of BePt2Se.

Cell: 3.461 3.517 5.345 Å, 90.00 108.50 90.00°
Fractional positions:
Be 0.000 0.000 0.000
Pt 0.364 0.500 0.212
Pt 0.636 0.500 0.788
Se 0.000 0.000 0.500

N(E_F), states/eV per cell: 1.6
Relative energy among the computed polymorphs, meV per atom: 144.5
Symmetry: P2/m, No. 10
Crystal system: monoclinic
Calculated volume, A^3/atom: 15.43

=====

2.
DFT (GGA-PBE) results for an optimized crystal structure of Cs3Sm3TiTe8.

Cell: 10.514 10.514 10.514 Å, 50.16 50.16 50.16°
Fractional positions:
Cs 0.000 0.500 0.500
Cs 0.500 0.000 0.500
Cs 0.500 0.500 0.000
Sm 0.000 0.000 0.500
Sm 0.000 0.500 0.000
Sm 0.500 0.000 0.000
Ti 0.500 0.500 0.500
Te 0.232 0.232 0.232
Te 0.255 0.713 0.713
Te 0.287 0.287 0.745
Te 0.287 0.745 0.287
Te 0.713 0.255 0.713
Te 0.713 0.713 0.255
Te 0.745 0.287 0.287
Te 0.768 0.768 0.768

Symmetry: R-3m, No. 166
Crystal system: trigonal
Calculated volume, A^3/atom: 42.06

=====

3.
DFT (GGA-PBE) results for an optimized crystal structure of ZrVSi2.

Cell: 3.912 3.912 18.151 Å, 90.00 90.00 90.00°
Fractional positions:
Zr 0.000 0.000 0.000
Zr 0.000 0.500 0.250
Zr 0.500 0.000 0.750
Zr 0.500 0.500 0.500
V 0.000 0.000 0.500
V 0.000 0.500 0.750
V 0.500 0.000 0.250
V 0.500 0.500 0.000
Si 0.191 0.250 0.625
Si 0.250 0.691 0.875
Si 0.250 0.809 0.375
Si 0.309 0.250 0.125
Si 0.691 0.750 0.125
Si 0.750 0.191 0.375
Si 0.750 0.309 0.875
Si 0.809 0.750 0.625

N(E_F), states/eV per cell: 10.7
Symmetry: I-42d, No. 122
Crystal system: tetragonal
Calculated volume, A^3/atom: 17.36

=====

| no. | total moment (μB/f.u.) | E_tot (eV per atom) | uncorrected formation energy (eV/atom) |
| --- | --- | --- | --- |
| 1 | 0.0 | -4.92 | -0.096 |
| 2 | 0.1 | -4.53 | -1.216 |
| 3 | 0.0 | -7.02 | 0.107 |